16
Lattice="8.4774 0.0000 0.0000 0.0000 8.5529 0.0441 -4.2387 -4.2345 5.9972" Properties=species:S:1:pos:R:3 comment="Na4PmSm3Se8 PBE-GGA relaxed" final_energy_ev_per_atom=-4.95 e_form_raw_mev_per_atom=-1694.3 spacegroup=R-3m pbc="T T T"
Se 4.2387 4.2033 2.9664
Na -2.1193 -2.1173 2.9986
Se 4.2387 0.1167 3.0664
Sm 2.1193 2.1592 3.0207
Se 2.1262 2.2271 0.0775
Pm 0.0000 4.2765 0.0221
Na 2.1193 -2.1173 2.9986
Sm -2.1193 2.1592 3.0207
Na 0.0000 0.0000 0.0000
Se 0.0000 4.2017 2.9750
Se 2.1124 2.0913 5.9639
Se 0.0000 0.1151 3.0749
Se 6.3511 2.2271 0.0775
Na 4.2387 0.0000 0.0000
Se -2.1124 2.0913 5.9639
Sm 4.2387 4.2765 0.0221


4
Lattice="-1.8684 -2.4552 -0.5455 1.0291 -0.1263 -2.9566 6.2252 -5.2690 2.3920" Properties=species:S:1:pos:R:3 comment="Tb2ScO PBE-GGA relaxed" final_energy_ev_per_atom=-6.01 e_form_raw_mev_per_atom=-869.1 polymorph_energy_mev_per_atom=281 spacegroup=P4/mmm pbc="T T T"
Tb 1.1228 -0.9503 0.4314
O -0.4197 -1.2907 -1.7510
Sc 2.6929 -3.9252 -0.5551
Tb 5.1024 -4.3186 1.9605


4
Lattice="-5.0915 -7.7585 -0.7767 -3.3994 -8.5839 1.2176 -5.6608 -7.1620 1.8390" Properties=species:S:1:pos:R:3 comment="AsPF2 PBE-GGA relaxed" final_energy_ev_per_atom=-4.41 e_form_raw_mev_per_atom=-959.1 polymorph_energy_mev_per_atom=0 spacegroup=R-3m pbc="T T T"
F -13.2872 -22.0685 2.1406
As -7.0758 -11.7522 1.1400
P 0.0000 0.0000 0.0000
F -0.8645 -1.4359 0.1393


11
Lattice="-1.4390 2.9556 -1.2561 -8.2432 -3.2313 1.8401 2.5586 4.0325 11.4875" Properties=species:S:1:pos:R:3 comment="La2Pm4Nd5 PBE-GGA relaxed" final_energy_ev_per_atom=-4.67 formation_enthalpy_0k_ev_per_atom=0.124 polymorph_energy_mev_per_atom=0 spacegroup=C2/m pbc="T T T"
Nd -5.9445 -0.1070 6.5583
Nd -6.6734 2.5846 8.7974
Pm -3.1825 1.8301 7.9525
Pm -3.9410 1.9268 4.1190
La -5.6935 -1.3732 3.2915
Nd -1.1791 3.8639 5.5132
La -1.4300 5.1300 8.7800
Nd -0.7195 1.4778 -0.6280
Nd -0.4501 1.1723 3.2741
Pm -4.3113 4.4077 10.3811
Pm -2.8122 -0.6508 1.6904


4
Lattice="-2.4433 1.8860 1.0966 -3.1087 -0.8140 -0.6343 -2.2143 -5.5818 9.5582" Properties=species:S:1:pos:R:3 comment="Er2PaGa PBE-GGA relaxed" final_energy_ev_per_atom=-5.33 formation_enthalpy_0k_ev_per_atom=0.087 polymorph_energy_mev_per_atom=266 spacegroup=R-3m pbc="T T T"
Er -2.1080 -3.8463 6.8102
Pa 0.0000 0.0000 0.0000
Er -5.6582 -0.6635 3.2103
Ga -3.8831 -2.2549 5.0102


10
Lattice="7.7472 0.0000 0.0000 0.0000 7.7472 0.0000 0.0000 0.0000 5.9317" Properties=species:S:1:pos:R:3 comment="Na2Y2Hg PBE-GGA relaxed" final_energy_ev_per_atom=-2.94 formation_enthalpy_0k_ev_per_atom=0.230 polymorph_energy_mev_per_atom=91 spacegroup=P4/mbm pbc="T T T"
Na 6.5085 2.6349 2.9659
Y 6.5469 5.0739 0.0000
Na 5.1123 6.5085 2.9659
Na 1.2387 5.1123 2.9659
Y 1.2003 2.6733 0.0000
Hg 3.8736 3.8736 0.0000
Hg 0.0000 0.0000 0.0000
Y 2.6733 6.5469 0.0000
Y 5.0739 1.2003 0.0000
Na 2.6349 1.2387 2.9659


4
Lattice="-3.1031 -0.7841 1.6171 -0.5626 -3.2948 1.2989 1.2251 0.4124 6.5267" Properties=species:S:1:pos:R:3 comment="AcErN2 PBE-GGA relaxed" final_energy_ev_per_atom=-7.41 e_form_raw_mev_per_atom=-1076.6 polymorph_energy_mev_per_atom=226 spacegroup=R3m pbc="T T T"
N 0.6022 -0.0386 5.1128
Ac -1.2723 -2.3457 8.3490
Er -1.2493 -1.8542 4.6555
N -0.5165 -0.8488 2.5734


4
Lattice="-2.7940 0.6217 0.4927 -0.7795 -1.8165 -2.1280 -0.4077 -6.0300 5.2966" Properties=species:S:1:pos:R:3 comment="Re2RhPb PBE-GGA relaxed" final_energy_ev_per_atom=-8.15 formation_enthalpy_0k_ev_per_atom=0.842 spacegroup=P4/mmm pbc="T T T"
Re -0.3163 -4.6785 4.1095
Rh -1.7868 -0.5974 -0.8177
Re -0.0914 -1.3515 1.1871
Pb -1.9906 -3.6124 1.8307